[1]
Material: Ni2OsCl
Method: DFT, PBE
State: optimized geometry

Values from the calculation:
Calculated total energy in eV/atom: -5.569
E above lowest polymorph in eV/f.u.: 1.28
Uncorrected formation energy in eV per atom: 0.590

```
data_Ni2OsCl
_chemical_formula_sum 'Ni4 Os2 Cl2'
_symmetry_space_group_name_H-M 'A m m 2'
_symmetry_Int_Tables_number 38
_cell_length_a 3.990
_cell_length_b 2.741
_cell_length_c 10.039
_cell_angle_alpha 90.00
_cell_angle_beta 90.00
_cell_angle_gamma 90.00
loop_
_symmetry_equiv_pos_as_xyz
'x,y,z'
'-x,-y,z'
'-x,y,z'
'x,-y,z'
'x,y+1/2,z+1/2'
'-x,-y+1/2,z+1/2'
'-x,y+1/2,z+1/2'
'x,-y+1/2,z+1/2'
loop_
_atom_site_label
_atom_site_type_symbol
_atom_site_fract_x
_atom_site_fract_y
_atom_site_fract_z
Ni1 Ni 0.000 0.000 0.000
Ni2 Ni 0.500 0.000 0.136
Os1 Os 0.000 0.000 0.718
Cl1 Cl 0.500 0.000 0.887
```

[2]
Material: Ac3ThIn4
Method: DFT, PBE
State: optimized geometry

Values from the calculation:
Energy of formation from the pure elements in eV/atom: -0.356
Calculated total energy in eV/atom: -4.193

```
data_Ac3ThIn4
_chemical_formula_sum 'Ac3 Th1 In4'
_symmetry_space_group_name_H-M 'P 4/m m m'
_symmetry_Int_Tables_number 123
_symmetry_space_group_name_Hall '-P 4 2'
_cell_length_a 3.762
_cell_length_b 3.762
_cell_length_c 18.463
_cell_angle_alpha 90.00
_cell_angle_beta 90.00
_cell_angle_gamma 90.00
loop_
_atom_site_label
_atom_site_type_symbol
_atom_site_fract_x
_atom_site_fract_y
_atom_site_fract_z
Ac1 Ac 0.000 0.000 0.000
Ac2 Ac 0.000 0.000 0.255
Th1 Th 0.000 0.000 0.500
In1 In 0.500 0.500 0.127
In2 In 0.500 0.500 0.383
```

[3]
Material: AcB4Ru
Method: DFT, PBE
State: optimized geometry

Values from the calculation:
Energy of formation from the pure elements in eV/atom: -0.311
Calculated total energy in eV/atom: -6.993

```
data_AcB4Ru
_chemical_formula_sum 'Ac4 B16 Ru4'
_symmetry_space_group_name_H-M 'P b a m'
_symmetry_Int_Tables_number 55
_cell_length_a 6.243
_cell_length_b 12.141
_cell_length_c 3.765
_cell_angle_alpha 90.00
_cell_angle_beta 90.00
_cell_angle_gamma 90.00
loop_
_symmetry_equiv_pos_as_xyz
'x,y,z'
'-x,-y,-z'
'-x,-y,z'
'x,y,-z'
'x+1/2,-y+1/2,-z'
'-x+1/2,y+1/2,z'
'-x+1/2,y+1/2,-z'
'x+1/2,-y+1/2,z'
loop_
_atom_site_label
_atom_site_type_symbol
_atom_site_fract_x
_atom_site_fract_y
_atom_site_fract_z
Ac1 Ac 0.125 0.152 0.000
B1 B 0.019 0.681 0.500
B2 B 0.108 0.543 0.500
B3 B 0.148 0.968 0.500
B4 B 0.228 0.823 0.500
Ru1 Ru 0.136 0.411 0.000
```

[4]
Material: Te3Se
Method: DFT, PBE
State: optimized geometry

Values from the calculation:
Calculated total energy in eV/atom: -3.025
Uncorrected formation energy in eV per atom: 0.202

```
data_Te3Se
_chemical_formula_sum 'Te6 Se2'
_symmetry_space_group_name_H-M 'P 63/m m c'
_symmetry_Int_Tables_number 194
_symmetry_space_group_name_Hall '-P 6c 2c'
_cell_length_a 7.9026
_cell_length_b 7.9026
_cell_length_c 4.2749
_cell_angle_alpha 90.00
_cell_angle_beta 90.00
_cell_angle_gamma 120.00
loop_
_atom_site_label
_atom_site_type_symbol
_atom_site_fract_x
_atom_site_fract_y
_atom_site_fract_z
Te1 Te 0.1708 0.3416 0.2500
Se1 Se 0.3333 0.6667 0.7500
```

[5]
Material: MgBe2CoGe
Method: DFT, PBE
State: optimized geometry

Values from the calculation:
Energy of formation from the pure elements in eV/atom: 0.568
Calculated total energy in eV/atom: -3.586

```
data_MgBe2CoGe
_chemical_formula_sum 'Mg1 Be2 Co1 Ge1'
_symmetry_space_group_name_H-M 'P 4/m m m'
_symmetry_Int_Tables_number 123
_symmetry_space_group_name_Hall '-P 4 2'
_cell_length_a 4.093
_cell_length_b 4.093
_cell_length_c 4.618
_cell_angle_alpha 90.00
_cell_angle_beta 90.00
_cell_angle_gamma 90.00
loop_
_atom_site_label
_atom_site_type_symbol
_atom_site_fract_x
_atom_site_fract_y
_atom_site_fract_z
Mg1 Mg 0.000 0.000 0.000
Be1 Be 0.000 0.500 0.500
Co1 Co 0.000 0.000 0.500
Ge1 Ge 0.500 0.500 0.000
```

[6]
Material: HgRuW2
Method: DFT, PBE
State: optimized geometry

Values from the calculation:
Energy of formation from the pure elements in eV/atom: 0.569
Calculated total energy in eV/atom: -8.302
E above lowest polymorph in eV/f.u.: 0.63

```
data_HgRuW2
_chemical_formula_sum 'Hg2 Ru2 W4'
_symmetry_space_group_name_H-M 'C m m m'
_symmetry_Int_Tables_number 65
_symmetry_space_group_name_Hall '-C 2 2'
_cell_length_a 5.543
_cell_length_b 8.331
_cell_length_c 2.828
_cell_angle_alpha 90.00
_cell_angle_beta 90.00
_cell_angle_gamma 90.00
loop_
_atom_site_label
_atom_site_type_symbol
_atom_site_fract_x
_atom_site_fract_y
_atom_site_fract_z
Hg1 Hg 0.000 0.000 0.000
Ru1 Ru 0.000 0.500 0.000
W1 W 0.250 0.250 0.500
```

[7]
Material: La3Nd7Y2
Method: DFT, PBE
State: optimized geometry

Values from the calculation:
Energy of formation from the pure elements in eV/atom: 0.082
Calculated total energy in eV/atom: -5.009
E above lowest polymorph in eV/f.u.: 0.00

```
data_La3Nd7Y2
_chemical_formula_sum 'La3 Nd7 Y2'
_symmetry_space_group_name_H-M 'P 1 2/m 1'
_symmetry_Int_Tables_number 10
_cell_length_a 6.016
_cell_length_b 3.658
_cell_length_c 19.482
_cell_angle_alpha 90.00
_cell_angle_beta 92.97
_cell_angle_gamma 90.00
loop_
_symmetry_equiv_pos_as_xyz
'x,y,z'
'-x,-y,-z'
'-x,y,-z'
'x,-y,z'
loop_
_atom_site_label
_atom_site_type_symbol
_atom_site_fract_x
_atom_site_fract_y
_atom_site_fract_z
La1 La 0.000 0.000 0.000
La2 La 0.277 0.500 0.634
Nd1 Nd 0.189 0.500 0.145
Nd2 Nd 0.244 0.000 0.464
Nd3 Nd 0.308 0.000 0.820
Nd4 Nd 0.500 0.500 0.000
Y1 Y 0.214 0.000 0.294
```

[8]
Material: Pu3Cd
Method: DFT, PBE
State: optimized geometry

Values from the calculation:
Energy of formation from the pure elements in eV/atom: 0.152
Calculated total energy in eV/atom: -10.826
E above lowest polymorph in eV/f.u.: 0.05

```
data_Pu3Cd
_chemical_formula_sum 'Pu3 Cd1'
_symmetry_space_group_name_H-M 'P m -3 m'
_symmetry_Int_Tables_number 221
_symmetry_space_group_name_Hall '-P 4 2 3'
_cell_length_a 4.733
_cell_length_b 4.733
_cell_length_c 4.733
_cell_angle_alpha 90.00
_cell_angle_beta 90.00
_cell_angle_gamma 90.00
loop_
_atom_site_label
_atom_site_type_symbol
_atom_site_fract_x
_atom_site_fract_y
_atom_site_fract_z
Pu1 Pu 0.000 0.000 0.500
Cd1 Cd 0.500 0.500 0.500
```

[9]
Material: Sc2RhWI
Method: DFT, PBE
State: optimized geometry

Values from the calculation:
Calculated total energy in eV/atom: -5.645
Uncorrected formation energy in eV per atom: 1.259

```
data_Sc2RhWI
_chemical_formula_sum 'Sc2 Rh1 W1 I1'
_symmetry_space_group_name_H-M 'P 4/m m m'
_symmetry_Int_Tables_number 123
_symmetry_space_group_name_Hall '-P 4 2'
_cell_length_a 5.167
_cell_length_b 5.167
_cell_length_c 4.751
_cell_angle_alpha 90.00
_cell_angle_beta 90.00
_cell_angle_gamma 90.00
loop_
_atom_site_label
_atom_site_type_symbol
_atom_site_fract_x
_atom_site_fract_y
_atom_site_fract_z
Sc1 Sc 0.000 0.500 0.000
Rh1 Rh 0.000 0.000 0.500
W1 W 0.500 0.500 0.500
I1 I 0.000 0.000 0.000
```

[10]
Material: InRhBr2
Method: DFT, PBE
State: optimized geometry

Values from the calculation:
Calculated total energy in eV/atom: -3.436
E above lowest polymorph in eV/f.u.: 0.80
Uncorrected formation energy in eV per atom: -0.077

```
data_InRhBr2
_chemical_formula_sum 'In2 Rh2 Br4'
_symmetry_space_group_name_H-M 'I m m 2'
_symmetry_Int_Tables_number 44
_cell_length_a 3.427
_cell_length_b 7.900
_cell_length_c 9.207
_cell_angle_alpha 90.00
_cell_angle_beta 90.00
_cell_angle_gamma 90.00
loop_
_symmetry_equiv_pos_as_xyz
'x,y,z'
'-x,-y,z'
'-x,y,z'
'x,-y,z'
'x+1/2,y+1/2,z+1/2'
'-x+1/2,-y+1/2,z+1/2'
'-x+1/2,y+1/2,z+1/2'
'x+1/2,-y+1/2,z+1/2'
loop_
_atom_site_label
_atom_site_type_symbol
_atom_site_fract_x
_atom_site_fract_y
_atom_site_fract_z
In1 In 0.000 0.000 0.000
Rh1 Rh 0.000 0.500 0.724
Br1 Br 0.000 0.000 0.408
Br2 Br 0.000 0.500 0.272
```

[11]
Material: Ag3AsS3
Method: DFT, PBE
State: optimized geometry

Values from the calculation:
Calculated total energy in eV/atom: -3.748
E above lowest polymorph in eV/f.u.: 0.03
Uncorrected formation energy in eV per atom: -0.093

```
data_Ag3AsS3
_chemical_formula_sum 'Ag18 As6 S18'
_symmetry_space_group_name_H-M 'R 3 c'
_symmetry_Int_Tables_number 161
_symmetry_space_group_name_Hall 'R 3 -2"c'
_cell_length_a 10.7647
_cell_length_b 10.7647
_cell_length_c 9.4463
_cell_angle_alpha 90.00
_cell_angle_beta 90.00
_cell_angle_gamma 120.00
loop_
_atom_site_label
_atom_site_type_symbol
_atom_site_fract_x
_atom_site_fract_y
_atom_site_fract_z
Ag1 Ag 0.0361 0.4104 0.0000
As1 As 0.0000 0.0000 0.1144
S1 S 0.2173 0.1039 0.9975
```

[12]
Material: Nd8GeTe3Se3
Method: DFT, PBE
State: optimized geometry

Values from the calculation:
Calculated total energy in eV/atom: -5.615
Uncorrected formation energy in eV per atom: -1.439

```
data_Nd8GeTe3Se3
_chemical_formula_sum 'Nd24 Ge3 Te9 Se9'
_symmetry_space_group_name_H-M 'R -3 m'
_symmetry_Int_Tables_number 166
_symmetry_space_group_name_Hall '-R 3 2"'
_cell_length_a 8.6116
_cell_length_b 8.6116
_cell_length_c 21.7221
_cell_angle_alpha 90.00
_cell_angle_beta 90.00
_cell_angle_gamma 120.00
loop_
_atom_site_label
_atom_site_type_symbol
_atom_site_fract_x
_atom_site_fract_y
_atom_site_fract_z
Nd1 Nd 0.0000 0.0000 0.2398
Nd2 Nd 0.0027 0.5013 0.2416
Ge1 Ge 0.0000 0.0000 0.5000
Te1 Te 0.0000 0.5000 0.0000
Se1 Se 0.0000 0.5000 0.5000
```